{"formula": "Li2TaMn", "functional": "GGA-PBE", "state": "optimized geometry", "lattice_angstrom": [[-3.403, 3.640, -2.452], [-5.529, 0.134, 0.507], [5.025, 0.151, 2.360]], "species": ["Li", "Mn", "Li", "Ta"], "fractional_positions": [[0.516, 0.516, 0.000], [0.750, 0.250, 0.500], [0.984, 0.984, 0.000], [0.250, 0.750, 0.500]], "spacegroup": "Immm, No. 71"}

{"formula": "LiTaMn3", "functional": "GGA-PBE", "state": "optimized geometry", "lattice_angstrom": [[4.775, 0.000, 0.000], [0.000, 4.775, 0.000], [0.000, 0.000, 4.775]], "species": ["Ta", "Mn", "Li", "Mn", "Mn"], "fractional_positions": [[0.000, 0.000, 0.000], [0.500, 0.000, 0.000], [0.500, 0.500, 0.500], [0.000, 0.000, 0.500], [0.000, 0.500, 0.000]], "spacegroup": "Pm-3m, No. 221"}

{"formula": "Li2TaMn", "functional": "GGA-PBE", "state": "optimized geometry", "lattice_angstrom": [[-0.911, 2.359, -2.408], [-3.371, -0.680, 0.609], [-0.079, 3.413, 3.374]], "species": ["Ta", "Li", "Li", "Mn"], "fractional_positions": [[0.000, 0.500, 0.500], [0.000, 0.000, 0.000], [0.500, 0.500, 0.000], [0.500, 0.000, 0.500]], "spacegroup": "P4/mmm, No. 123"}

{"formula": "Li2TaMn", "functional": "GGA-PBE", "state": "optimized geometry", "lattice_angstrom": [[9.960, -0.063, -0.037], [9.590, 2.691, -0.037], [9.590, 1.289, 2.362]], "species": ["Li", "Ta", "Li", "Mn"], "fractional_positions": [[0.503, 0.503, 0.503], [0.750, 0.750, 0.750], [0.997, 0.997, 0.997], [0.250, 0.250, 0.250]], "spacegroup": "R-3m, No. 166"}

no.,energy of formation (eV per atom),magnetization (μB/f.u.),electronic total energy (eV per atom)
1,0.295,1.26,-5.918
2,1.189,8.93,-7.066
3,0.379,0.92,-5.834
4,0.398,3.65,-5.815